Density functional theory data (GGA+U) for crystalline VBi2F at its relaxed geometry.

**Volume**: 21.3 Å³/atom
**Energy above the most stable polymorph in this dataset**: 0 meV/atom
**Calculated density**: 9.50 Mg/m³
**Total magnetic moment**: 3.5 μB per cell

Cell and atoms, written as POSCAR:
```
VBi2F
1.0
4.6659 0.6797 1.4776
0.9260 2.2078 4.3225
1.8021 -2.6247 3.7789
V Bi F
1 2 1
direct
0.5000 0.5000 0.5000
0.2500 0.2500 0.2500
0.7500 0.7500 0.7500
0.0000 0.0000 0.0000
```